1.
Density functional theory data (PBE) for a geometry-optimized CuSi2Ir2 structure.

a b c (Å): 7.065 7.065 2.764
angles (deg): 90.00 90.00 90.00
Space group P4/mbm (No. 127)
Asymmetric unit:
Cu: 0.000 0.000 0.000 [2 per cell]
Si: 0.150 0.350 0.000 [4 per cell]
Ir: 0.147 0.647 0.500 [4 per cell]

- ρ (g/cm³) = 12.13
- crystal system = tetragonal
- raw formation energy (eV/atom) = -0.389
- total magnetization (μB per atom) = 0.00

***

2.
Density functional theory data (PBE) for a geometry-optimized CuSiIr2 structure.

a b c (Å): 2.850 4.810 8.257
angles (deg): 90.00 90.00 90.00
Space group Cmmm (No. 65)
Asymmetric unit:
Cu: 0.000 0.000 0.000 [2 per cell]
Si: 0.000 0.000 0.500 [2 per cell]
Ir: 0.000 0.500 0.273 [4 per cell]

- ρ (g/cm³) = 13.97
- crystal system = orthorhombic
- raw formation energy (eV/atom) = -0.036
- total magnetization (μB per atom) = 0.00